Entry 1:
VASP calculation (GGA-PBE) on a geometry-optimized SrAgPPd2 structure.

Lattice parameters (Å, degrees): 4.7204 4.7204 4.7602 90.00 90.00 90.00
Closest atoms and distances in Å follow each position.
Element x y z (fractional)
Sr1 0.0000 0.0000 0.0000  4 Ag 3.34, 8 Pd 3.35
Ag1 0.5000 0.5000 0.0000  2 P 2.38
P1 0.5000 0.5000 0.5000  4 Pd 2.36, 2 Ag 2.38
Pd1 0.0000 0.5000 0.5000  2 P 2.36
Pd2 0.5000 0.0000 0.5000  2 P 2.36

Summary:
As for the space-group type: P4/mmm (123). The crystal system is tetragonal. The calculated volume is 106.1 Å³ per cell.

=====

Entry 2:
VASP calculation (GGA-PBE) on a geometry-optimized LaY3Ir structure.

Lattice parameters (Å, degrees): 5.3556 5.3556 5.3556 90.00 90.00 90.00
Closest atoms and distances in Å follow each position.
Element x y z (fractional)
La1 0.0000 0.0000 0.0000  6 Y 2.68
Y1 0.0000 0.0000 0.5000  2 La 2.68
Y2 0.0000 0.5000 0.0000  2 La 2.68
Y3 0.5000 0.0000 0.0000  2 La 2.68
Ir1 0.5000 0.5000 0.5000  12 Y 3.79

Summary:
As for the space-group type: Pm-3m (221). Its energy above the most stable polymorph in this dataset is 1635 meV per atom. The crystal system is cubic. The calculated volume is 153.6 Å³ per cell.

=====

These records have formation energy from the elements values of -0.524; 1.324 eV/atom, in the order they appear.